Record 1
Computed, not measured: crystalline AgH3Rh at its relaxed geometry at the PBE level of DFT.

Computed properties:
The value obtained for the offset from the most stable computed form is 23.3 kJ/mol of atoms.

Geometry as POSCAR:
```
AgH3Rh
1.0
2.931 0.000 3.908
-1.466 2.538 3.908
-1.466 -2.538 3.908
H Rh Ag
6 2 2
Direct
0.921 0.579 0.250
0.579 0.250 0.921
0.250 0.921 0.579
0.750 0.079 0.421
0.421 0.750 0.079
0.079 0.421 0.750
0.250 0.250 0.250
0.750 0.750 0.750
0.000 0.000 0.000
0.500 0.500 0.500
```

***

Record 2
Computed, not measured: crystalline AgH3Rh at its relaxed geometry at the PBE level of DFT.

Computed properties:
The value obtained for the offset from the most stable computed form is 16.3 kJ/mol of atoms.

Geometry as POSCAR:
```
AgH3Rh
1.0
2.956 0.000 0.000
0.000 2.956 0.000
1.478 1.478 10.209
H Rh Ag
6 2 2
Direct
0.146 0.899 0.201
0.101 0.854 0.799
0.101 0.347 0.799
0.653 0.899 0.201
0.318 0.318 0.365
0.682 0.682 0.635
0.631 0.131 0.738
0.869 0.369 0.262
0.000 0.000 0.000
0.250 0.750 0.500
```

***

Record 3
Computed, not measured: crystalline AgH3Rh at its relaxed geometry at the PBE level of DFT.

Computed properties:
The value obtained for the offset from the most stable computed form is 4.3 kJ/mol of atoms.

Geometry as POSCAR:
```
AgH3Rh
1.0
17.105 0.000 -1.063
0.000 5.011 0.000
-5.943 0.000 2.342
H Rh Ag
12 4 4
Direct
0.310 0.960 0.056
0.690 0.040 0.944
0.190 0.460 0.444
0.810 0.540 0.556
0.311 0.541 0.059
0.689 0.459 0.941
0.189 0.041 0.441
0.811 0.959 0.559
0.427 0.779 0.672
0.573 0.221 0.328
0.073 0.279 0.828
0.927 0.721 0.172
0.580 0.750 0.830
0.420 0.250 0.170
0.920 0.250 0.670
0.080 0.750 0.330
0.938 0.245 0.192
0.062 0.755 0.808
0.562 0.745 0.308
0.438 0.255 0.692
```

***

Record 4
Computed, not measured: crystalline AgH3Rh at its relaxed geometry at the PBE level of DFT.

Computed properties:
The value obtained for the offset from the most stable computed form is 23.4 kJ/mol of atoms.

Geometry as POSCAR:
```
AgH3Rh
1.0
-2.206 2.385 1.670
-2.006 -2.519 1.725
1.895 0.112 3.121
H Rh Ag
3 1 1
Direct
0.699 0.064 0.699
0.064 0.699 0.699
0.699 0.699 0.064
0.998 0.998 0.998
0.415 0.415 0.415
```

***

Record 5
Computed, not measured: crystalline AgH8Rh4 at its relaxed geometry at the PBE level of DFT.

Computed properties:
As for the total DFT energy (no corrections): -4.4929 eV/atom.

Geometry as POSCAR:
```
AgH8Rh4
1.0
-2.902 -1.496 -4.547
5.525 -0.868 0.238
-0.299 -3.250 5.203
Ag H Rh
1 8 4
Direct
0.000 0.500 0.500
0.717 0.971 0.174
0.202 0.457 0.174
0.689 0.463 0.152
0.213 0.971 0.184
0.787 0.029 0.816
0.311 0.537 0.848
0.798 0.543 0.826
0.283 0.029 0.826
0.244 0.244 0.000
0.756 0.756 0.000
0.253 0.755 0.008
0.747 0.245 0.992
```

***

Record 6
Computed, not measured: crystalline Ag2H5Rh2 at its relaxed geometry at the PBE level of DFT.

Computed properties:
As for the total DFT energy (no corrections): -4.0155 eV/atom.

Geometry as POSCAR:
```
Ag2H5Rh2
1.0
-2.464 0.297 1.520
-0.307 -5.427 -2.222
3.589 2.621 5.304
Ag H Rh
2 5 2
Direct
0.161 0.322 0.741
0.839 0.678 0.259
0.390 0.780 0.112
0.610 0.220 0.888
0.178 0.355 0.477
0.822 0.645 0.523
0.000 0.000 0.000
0.415 0.831 0.728
0.585 0.169 0.272
```

***

Record 7
Computed, not measured: crystalline Ag2H3Rh2 at its relaxed geometry at the PBE level of DFT.

Computed properties:
As for the total DFT energy (no corrections): -4.2985 eV/atom.

Geometry as POSCAR:
```
Ag2H3Rh2
1.0
-2.283 1.766 0.186
0.177 -2.949 4.294
2.995 3.896 1.547
Ag H Rh
2 3 2
Direct
0.892 0.755 0.602
0.108 0.245 0.398
0.000 0.000 0.000
0.772 0.556 0.162
0.228 0.444 0.838
0.604 0.247 0.900
0.396 0.753 0.100
```

***

Record 8
Computed, not measured: crystalline AgH3Rh at its relaxed geometry at the PBE level of DFT.

Computed properties:
The value obtained for the offset from the most stable computed form is 4.4 kJ/mol of atoms.

Geometry as POSCAR:
```
AgH3Rh
1.0
8.936 0.000 0.136
3.671 4.344 -2.278
-3.671 4.344 2.278
H Rh Ag
12 4 4
Direct
0.385 0.439 0.404
0.115 0.904 0.939
0.615 0.561 0.596
0.885 0.096 0.061
0.091 0.230 0.193
0.409 0.693 0.730
0.909 0.770 0.807
0.591 0.307 0.270
0.700 0.815 0.978
0.800 0.478 0.315
0.300 0.185 0.022
0.200 0.522 0.685
0.750 0.165 0.665
0.250 0.835 0.335
0.750 0.506 0.006
0.250 0.494 0.994
0.327 0.239 0.545
0.173 0.045 0.739
0.673 0.761 0.455
0.827 0.955 0.261
```

***

Record 9
Computed, not measured: crystalline AgH3Rh at its relaxed geometry at the PBE level of DFT.

Computed properties:
The value obtained for the offset from the most stable computed form is 4.3 kJ/mol of atoms.

Geometry as POSCAR:
```
AgH3Rh
1.0
-5.555 -2.778 1.047
-4.204 2.709 3.828
-5.269 2.501 -2.376
H Rh Ag
12 4 4
Direct
0.789 0.211 0.211
0.039 0.461 0.461
0.461 0.461 0.039
0.461 0.039 0.039
0.039 0.461 0.039
0.789 0.211 0.789
0.461 0.039 0.461
0.039 0.039 0.461
0.211 0.789 0.211
0.211 0.789 0.789
0.211 0.211 0.789
0.789 0.789 0.211
0.125 0.125 0.125
0.125 0.625 0.125
0.625 0.125 0.125
0.125 0.125 0.625
0.625 0.625 0.625
0.625 0.125 0.625
0.125 0.625 0.625
0.625 0.625 0.125
```

***

Record 10
Computed, not measured: crystalline AgH3Rh at its relaxed geometry at the PBE level of DFT.

Computed properties:
The value obtained for the offset from the most stable computed form is 1.8 kJ/mol of atoms.

Geometry as POSCAR:
```
AgH3Rh
1.0
4.676 -0.031 -0.001
0.636 2.818 0.000
0.000 0.000 6.589
H Rh Ag
6 2 2
Direct
0.406 0.642 0.443
0.305 0.171 0.737
0.966 0.795 0.943
0.966 0.794 0.531
0.406 0.642 0.031
0.066 0.267 0.237
0.186 0.218 0.987
0.186 0.218 0.487
0.705 0.889 0.237
0.666 0.548 0.737
```

***

Record 11
Computed, not measured: crystalline AgH3Rh at its relaxed geometry at the PBE level of DFT.

Computed properties:
The value obtained for the offset from the most stable computed form is 6.4 kJ/mol of atoms.

Geometry as POSCAR:
```
AgH3Rh
1.0
12.635 0.000 -0.567
4.753 1.484 -2.538
-4.753 1.484 2.538
H Rh Ag
6 2 2
Direct
0.696 0.348 0.652
0.304 0.652 0.348
0.111 0.214 0.786
0.889 0.786 0.214
0.455 0.746 0.254
0.545 0.254 0.746
0.614 0.012 0.988
0.386 0.988 0.012
0.875 0.006 0.994
0.125 0.994 0.006
```

***

Record 12
Computed, not measured: crystalline AgH3Rh at its relaxed geometry at the PBE level of DFT.

Computed properties:
The value obtained for the offset from the most stable computed form is 2.9 kJ/mol of atoms.

Geometry as POSCAR:
```
AgH3Rh
1.0
-3.924 2.081 0.301
-1.966 -3.443 2.023
0.087 4.386 3.136
H Rh Ag
6 2 2
Direct
0.915 0.064 0.304
0.233 0.848 0.779
0.640 0.998 0.831
0.483 0.097 0.279
0.175 0.304 0.804
0.581 0.556 0.332
0.539 0.971 0.546
0.839 0.171 0.047
0.277 0.644 0.125
0.934 0.488 0.625
```

***

Record 13
Computed, not measured: crystalline Ag2HRh at its relaxed geometry at the PBE level of DFT.

Computed properties:
The value obtained for the offset from the most stable computed form is 30.0 kJ/mol of atoms.

Geometry as POSCAR:
```
Ag2HRh
1.0
0.000 3.092 3.092
3.092 0.000 3.092
3.092 3.092 0.000
H Rh Ag
1 1 2
Direct
0.000 0.000 0.000
0.500 0.500 0.500
0.250 0.250 0.250
0.750 0.750 0.750
```

***

Record 14
Computed, not measured: crystalline AgH3Rh at its relaxed geometry at the PBE level of DFT.

Computed properties:
The value obtained for the offset from the most stable computed form is 5.2 kJ/mol of atoms.

Geometry as POSCAR:
```
AgH3Rh
1.0
-0.528 -1.207 -4.443
-0.121 -8.238 2.251
-4.467 0.196 0.477
H Rh Ag
12 4 4
Direct
0.247 0.859 0.753
0.253 0.359 0.253
0.253 0.141 0.253
0.753 0.359 0.247
0.753 0.141 0.247
0.747 0.641 0.747
0.747 0.859 0.747
0.247 0.641 0.753
0.262 0.250 0.757
0.238 0.750 0.257
0.738 0.750 0.243
0.762 0.250 0.743
0.506 0.250 0.472
0.994 0.750 0.972
0.494 0.750 0.528
0.006 0.250 0.028
0.000 0.000 0.500
0.500 0.500 0.000
0.500 0.000 0.000
0.000 0.500 0.500
```

***

Record 15
Computed, not measured: crystalline AgH3Rh at its relaxed geometry at the PBE level of DFT.

Computed properties:
The value obtained for the offset from the most stable computed form is 12.0 kJ/mol of atoms.

Geometry as POSCAR:
```
AgH3Rh
1.0
-1.619 2.768 0.655
-1.605 -2.850 -0.099
1.564 -1.189 8.894
H Rh Ag
6 2 2
Direct
0.000 0.000 0.250
0.000 0.000 0.750
0.333 0.667 0.974
0.333 0.667 0.526
0.667 0.333 0.474
0.667 0.333 0.026
0.000 0.000 0.000
0.000 0.000 0.500
0.333 0.667 0.750
0.667 0.333 0.250
```

***

Record 16
Computed, not measured: crystalline Ag2HRh2 at its relaxed geometry at the PBE level of DFT.

Computed properties:
As for the total DFT energy (no corrections): -4.5094 eV/atom.

Geometry as POSCAR:
```
Ag2HRh2
1.0
5.311 0.000 0.000
0.000 5.311 0.000
0.000 0.000 4.932
H Rh Ag
2 4 4
Direct
0.000 0.000 0.000
0.500 0.500 0.000
0.327 0.827 0.000
0.827 0.673 0.000
0.673 0.173 0.000
0.173 0.327 0.000
0.177 0.677 0.500
0.677 0.823 0.500
0.823 0.323 0.500
0.323 0.177 0.500
```

***

Record 17
Computed, not measured: crystalline AgH3Rh at its relaxed geometry at the PBE level of DFT.

Computed properties:
The value obtained for the offset from the most stable computed form is 7.6 kJ/mol of atoms.

Geometry as POSCAR:
```
AgH3Rh
1.0
2.890 0.000 3.982
-1.445 2.503 3.982
-1.445 -2.503 3.982
H Rh Ag
6 2 2
Direct
0.475 0.017 0.808
0.017 0.808 0.475
0.192 0.525 0.983
0.983 0.192 0.525
0.525 0.983 0.192
0.808 0.475 0.017
0.134 0.134 0.134
0.866 0.866 0.866
0.381 0.381 0.381
0.619 0.619 0.619
```

***

Record 18
Computed, not measured: crystalline Ag2HRh at its relaxed geometry at the PBE level of DFT.

Computed properties:
The value obtained for the offset from the most stable computed form is 0.0 kJ/mol of atoms.

Geometry as POSCAR:
```
Ag2HRh
1.0
-4.009 4.118 3.116
-5.068 -2.378 -3.377
-4.928 -0.888 1.691
H Rh Ag
2 2 4
Direct
0.500 0.500 0.000
0.250 0.750 0.500
0.000 0.000 0.000
0.750 0.250 0.500
0.530 0.125 0.250
0.220 0.625 0.250
0.375 0.470 0.750
0.875 0.780 0.750
```

***

Record 19
Computed, not measured: crystalline AgH3Rh at its relaxed geometry at the PBE level of DFT.

Computed properties:
The value obtained for the offset from the most stable computed form is 58.0 kJ/mol of atoms.

Geometry as POSCAR:
```
AgH3Rh
1.0
-0.796 -0.673 3.373
-2.863 -1.790 -1.033
1.907 -2.968 -0.142
H Rh Ag
3 1 1
Direct
0.000 0.500 0.000
0.000 0.000 0.500
0.500 0.000 0.000
0.500 0.500 0.500
0.000 0.000 0.000
```

***

Record 20
Computed, not measured: crystalline AgH3Rh at its relaxed geometry at the PBE level of DFT.

Computed properties:
The value obtained for the offset from the most stable computed form is 11.0 kJ/mol of atoms.

Geometry as POSCAR:
```
AgH3Rh
1.0
2.681 -1.548 0.000
0.000 3.096 0.000
0.000 0.000 10.582
H Rh Ag
6 2 2
Direct
0.000 0.000 0.250
0.000 0.000 0.750
0.333 0.667 0.911
0.333 0.667 0.589
0.667 0.333 0.411
0.667 0.333 0.089
0.333 0.667 0.750
0.667 0.333 0.250
0.000 0.000 0.000
0.000 0.000 0.500
```

***

Record 21
Computed, not measured: crystalline AgH6Rh2 at its relaxed geometry at the PBE level of DFT.

Computed properties:
As for the total DFT energy (no corrections): -4.0467 eV/atom.

Geometry as POSCAR:
```
AgH6Rh2
1.0
4.738 -0.290 0.358
-2.291 4.158 0.358
0.848 1.340 4.777
Ag H Rh
1 6 2
Direct
0.500 0.000 0.000
0.900 0.036 0.708
0.464 0.600 0.292
0.100 0.964 0.292
0.536 0.400 0.708
0.244 0.744 0.686
0.756 0.256 0.314
0.337 0.163 0.500
0.663 0.837 0.500
```

***

Record 22
Computed, not measured: crystalline AgH2Rh2 at its relaxed geometry at the PBE level of DFT.

Computed properties:
As for the total DFT energy (no corrections): -4.7359 eV/atom.

Geometry as POSCAR:
```
AgH2Rh2
1.0
3.437 0.000 0.000
0.000 3.437 0.000
1.719 1.719 4.424
H Rh Ag
2 2 1
Direct
0.750 0.250 0.500
0.250 0.750 0.500
0.335 0.335 0.330
0.665 0.665 0.670
0.000 0.000 0.000
```